[1]
## CdBiSbO (GGA-PBE)

Data for a geometry-optimized CdBiSbO structure.

Structure (POSCAR):
```
CdBiSbO
1.0
1.992 1.150 13.909
-1.992 1.150 13.909
0.000 -2.300 13.909
Cd Bi Sb O
2 2 2 2
Direct
0.139 0.139 0.139
0.861 0.861 0.861
0.298 0.298 0.298
0.702 0.702 0.702
0.412 0.412 0.412
0.588 0.588 0.588
0.194 0.194 0.194
0.806 0.806 0.806
```

Output
- space-group type = R-3m, No. 166
- energy relative to the lowest polymorph listed for this composition (meV per atom) = 82

***

[2]
## La2Gd2SiI5 (GGA-PBE)

Data for a geometry-optimized La2Gd2SiI5 structure.

Structure (POSCAR):
```
La2Gd2SiI5
1.0
9.784 -2.161 0.000
9.784 2.161 0.000
-1.997 0.000 9.055
La Gd Si I
2 2 1 5
Direct
0.001 0.001 0.285
0.999 0.999 0.715
0.356 0.356 0.427
0.644 0.644 0.573
0.500 0.500 0.500
0.170 0.170 0.822
0.176 0.176 0.346
0.500 0.500 0.000
0.824 0.824 0.654
0.830 0.830 0.178
```

Output
- space-group type = C2/m, No. 12

***

[3]
## ErSc2Al3CuGe2 (GGA-PBE)

Data for a geometry-optimized ErSc2Al3CuGe2 structure.

Structure (POSCAR):
```
ErSc2Al3CuGe2
1.0
4.033 0.000 0.000
0.000 5.927 3.397
0.000 -5.927 3.397
Er Sc Al Cu Ge
1 2 3 1 2
Direct
0.000 0.000 0.000
0.000 0.191 0.595
0.000 0.595 0.191
0.500 0.358 0.358
0.500 0.590 0.828
0.500 0.828 0.590
0.000 0.587 0.587
0.500 0.266 0.925
0.500 0.925 0.266
```

Output
- space-group type = Amm2, No. 38

***

[4]
## GdCd (GGA-PBE)

Data for a geometry-optimized GdCd structure.

Structure (POSCAR):
```
GdCd
1.0
0.000 3.108 3.108
3.108 0.000 3.108
3.108 3.108 0.000
Gd Cd
1 1
Direct
0.000 0.000 0.000
0.500 0.500 0.500
```

Output
- space-group type = Fm-3m, No. 225

***

[5]
## MgAgPd (GGA-PBE)

Data for a geometry-optimized MgAgPd structure.

Structure (POSCAR):
```
MgAgPd
1.0
0.000 3.110 3.110
3.110 0.000 3.110
3.110 3.110 0.000
Mg Ag Pd
1 1 1
Direct
0.000 0.000 0.000
0.500 0.500 0.500
0.750 0.750 0.750
```

Output
- space-group type = F-43m, No. 216
- energy relative to the lowest polymorph listed for this composition (meV per atom) = 265

***

[6]
## TmAgTePbSe2 (GGA-PBE)

Data for a geometry-optimized TmAgTePbSe2 structure.

Structure (POSCAR):
```
TmAgTePbSe2
1.0
2.074 -7.075 0.000
2.074 7.075 0.000
0.000 0.000 11.152
Tm Ag Te Pb Se
2 2 2 2 4
Direct
0.000 0.000 0.000
0.000 0.000 0.500
0.470 0.530 0.750
0.530 0.470 0.250
0.103 0.897 0.750
0.897 0.103 0.250
0.217 0.783 0.250
0.783 0.217 0.750
0.365 0.635 0.554
0.365 0.635 0.946
0.635 0.365 0.054
0.635 0.365 0.446
```

Output
- space-group type = Cmcm, No. 63

***

| no. | DFT total energy (eV per atom) |
| --- | --- |
| 1 | -3.850 |
| 2 | -4.491 |
| 3 | -5.235 |
| 4 | -2.753 |
| 5 | -3.365 |
| 6 | -4.377 |